Entry 1:
Below is NdTmPdRh after structural relaxation, with properties calculated at the PBE level.

Structure (POSCAR):
```
NdTmPdRh
1.0
4.481 0.000 0.000
0.000 1.873 5.329
0.000 -1.873 5.329
Nd Tm Pd Rh
1 1 1 1
Cartesian
0.000 0.000 0.000 Nd
2.240 0.000 2.970 Tm
2.240 0.000 5.986 Pd
0.000 0.000 7.833 Rh
```

Values from the calculation:
Symmetry: Amm2, No. 38
Polymorph energy (0 for the lowest one) in meV per atom: 0
Uncorrected energy in eV per cell: -25.08
Formation enthalpy at 0 K in eV per atom: -0.824

Entry 2:
Below is NdTmPdRh after structural relaxation, with properties calculated at the PBE level.

Structure (POSCAR):
```
NdTmPdRh
1.0
0.000 3.505 3.505
3.505 0.000 3.505
3.505 3.505 0.000
Nd Tm Pd Rh
1 1 1 1
Cartesian
0.000 0.000 0.000 Nd
3.505 3.505 3.505 Tm
5.258 5.258 5.258 Pd
1.753 1.753 1.753 Rh
```

Values from the calculation:
Symmetry: F-43m, No. 216
Polymorph energy (0 for the lowest one) in meV per atom: 23
Uncorrected energy in eV per cell: -24.99
Formation enthalpy at 0 K in eV per atom: -0.802

Entry 3:
Below is Nd2Zn5Pd2Rh after structural relaxation, with properties calculated at the PBE level.

Structure (POSCAR):
```
Nd2Zn5Pd2Rh
1.0
9.914 0.000 0.000
0.000 9.914 0.000
0.000 0.000 3.791
Nd Zn Pd Rh
4 10 4 2
Cartesian
1.799 3.158 0.000 Nd
3.158 8.115 0.000 Nd
6.756 1.799 0.000 Nd
8.115 6.756 0.000 Nd
0.000 4.957 1.896 Zn
0.499 8.072 1.896 Zn
1.842 0.499 1.896 Zn
3.115 5.456 1.896 Zn
4.458 3.115 1.896 Zn
4.957 0.000 1.896 Zn
5.456 6.799 1.896 Zn
6.799 4.458 1.896 Zn
8.072 9.415 1.896 Zn
9.415 1.842 1.896 Zn
1.183 6.140 0.000 Pd
3.774 1.183 0.000 Pd
6.140 8.731 0.000 Pd
8.731 3.774 0.000 Pd
0.000 0.000 0.000 Rh
4.957 4.957 0.000 Rh
```

Values from the calculation:
Symmetry: P4/mbm, No. 127
Uncorrected energy in eV per cell: -76.02
Formation enthalpy at 0 K in eV per atom: -0.437

Number 3 is which compound?
Nd2Zn5Pd2Rh